! BiPAuS | Alexandria | PBE-GGA | optimized geometry; values from VASP
! M_tot: 0.00 Bohr magnetons per cell
! Energy: -32.60 eV per cell
! Uncorrected formation energy: 98.6 meV/atom
! Energy above the most stable polymorph in this dataset: 0.145 eV/atom
! Volume: 24.64 Å³ per atom
&SYSTEM
  ibrav = 0, nat = 8, ntyp = 4
/
ATOMIC_SPECIES
P 30.97 P.upf
Bi 208.98 Bi.upf
S 32.06 S.upf
Au 196.97 Au.upf
ATOMIC_POSITIONS crystal
P 0.446 0.000 0.214
Bi 0.679 0.000 0.626
S 0.129 0.500 0.611
Au 0.963 0.000 0.389
Bi 0.679 0.500 0.126
Au 0.963 0.500 0.889
S 0.129 0.000 0.111
P 0.446 0.500 0.714
CELL_PARAMETERS angstrom
7.050 0.000 0.010
0.000 4.151 0.000
-2.474 0.000 6.733